An optimized crystal structure of ScTl2Si. Source: Alexandria via LeMat-Bulk, functional GGA-PBE.

Properties
SG: Cm
energy above the lowest structure with this stoichiometry: 0.0756 eV per atom

Cell: 5.409 5.409 5.049 Å, 70.79 70.79 42.84°
Fractional coordinates of all 4 atoms:
Sc  0.468  0.468  0.585
Si  0.753  0.753  0.656
Tl  0.028  0.028  0.001
Tl  0.250  0.250  0.258

---

An optimized crystal structure of Sc5Tl2Si2. Source: Alexandria via LeMat-Bulk, functional GGA-PBE.

Properties
SG: Cmce
uncorrected energy: -5.802 eV/atom

Cell: 7.183 7.166 8.342 Å, 90.00 64.50 90.00°
Fractional coordinates of all 18 atoms:
Sc  0.000  0.000  0.000
Sc  0.500  0.500  0.000
Sc  0.441  0.176  0.760
Sc  0.800  0.824  0.760
Sc  0.300  0.676  0.760
Sc  0.941  0.324  0.760
Sc  0.559  0.824  0.240
Sc  0.200  0.176  0.240
Sc  0.700  0.324  0.240
Sc  0.059  0.676  0.240
Tl  0.222  0.000  0.556
Tl  0.722  0.500  0.556
Tl  0.778  0.000  0.444
Tl  0.278  0.500  0.444
Si  0.123  0.375  0.000
Si  0.877  0.625  0.000
Si  0.377  0.875  0.000
Si  0.623  0.125  0.000

---

An optimized crystal structure of ScTl2Si. Source: Alexandria via LeMat-Bulk, functional GGA-PBE.

Properties
SG: Cmmm
energy above the lowest structure with this stoichiometry: 0.3707 eV per atom

Cell: 3.289 3.289 9.529 Å, 90.00 90.00 111.64°
Fractional coordinates of all 4 atoms:
Sc  0.500  0.500  0.250
Si  0.500  0.500  0.750
Tl  0.000  0.000  0.990
Tl  0.000  0.000  0.510

---

An optimized crystal structure of ScTlSi. Source: Alexandria via LeMat-Bulk, functional GGA-PBE.

Properties
SG: P3m1
energy above the lowest structure with this stoichiometry: 0.1629 eV per atom

Cell: 4.159 4.159 4.548 Å, 90.00 90.00 120.00°
Fractional coordinates of all 3 atoms:
Sc  0.000  0.000  0.050
Si  0.667  0.333  0.327
Tl  0.333  0.667  0.623